No. 1
Density functional theory data (meta-GGA SCAN) for a crystal of Ca2WBr relaxed with PBEsol.

abc: 5.4984 5.4984 3.1017
angles: 90.00 90.00 90.00
With the nearest neighbours (Å) after each atom.
Element x y z (fractional)
Ca  0.0000  0.5000  0.0000  2 Ca 3.10, 4 W 3.16, 4 Br 3.16
Ca  0.5000  0.0000  0.0000  2 Ca 3.10, 4 W 3.16, 4 Br 3.16
W  0.0000  0.0000  0.5000  2 W 3.10, 8 Ca 3.16
Br  0.5000  0.5000  0.5000  2 Br 3.10, 8 Ca 3.16

Values from the calculation:
* space-group type: P4/mmm
* formation energy from raw total energies: 0.343 eV/atom
* distance to the lowest polymorph of the same formula: 0.89 eV/f.u.

=====

No. 2
Density functional theory data (meta-GGA SCAN) for a crystal of ZnTe2Os relaxed with PBEsol.

abc: 4.8644 4.8644 3.2196
angles: 90.00 90.00 90.00
With the nearest neighbours (Å) after each atom.
Element x y z (fractional)
Zn  0.0000  0.0000  0.0000  8 Te 2.92, 2 Zn 3.22
Te  0.0000  0.5000  0.5000  4 Os 2.92, 4 Zn 2.92, 2 Te 3.22
Te  0.5000  0.0000  0.5000  4 Os 2.92, 4 Zn 2.92, 2 Te 3.22
Os  0.5000  0.5000  0.0000  8 Te 2.92, 2 Os 3.22

Values from the calculation:
* space-group type: P4/mmm
* formation energy from raw total energies: 0.752 eV/atom

=====

No. 3
Density functional theory data (meta-GGA SCAN) for a crystal of TlSiRu2 relaxed with PBEsol.

abc: 2.9478 4.3727 5.1313
angles: 90.00 106.49 90.00
With the nearest neighbours (Å) after each atom.
Element x y z (fractional)
Tl  0.0000  0.0000  0.0000  3 Ru 2.58-2.76
Si  0.3449  0.5000  0.6879  4 Ru 2.33-2.45
Ru  0.2643  0.0000  0.5253  2 Si 2.33, 1 Tl 2.58
Ru  0.6481  0.5000  0.2898  2 Si 2.45

Values from the calculation:
* space-group type: Pm
* formation energy from raw total energies: 0.358 eV/atom
* distance to the lowest polymorph of the same formula: 1.45 eV/f.u.

=====

No. 4
Density functional theory data (meta-GGA SCAN) for a crystal of ZrGe2SbSe relaxed with PBEsol.

abc: 5.2257 5.2257 4.9766
angles: 90.00 90.00 90.00
With the nearest neighbours (Å) after each atom.
Element x y z (fractional)
Zr  0.0000  0.0000  0.0000  2 Se 2.49, 4 Ge 2.61
Ge  0.0000  0.5000  0.0000  2 Zr 2.61
Ge  0.5000  0.0000  0.0000  2 Zr 2.61
Sb  0.5000  0.5000  0.5000  8 Ge 3.61, 4 Se 3.70
Se  0.0000  0.0000  0.5000  2 Zr 2.49

Values from the calculation:
* space-group type: P4/mmm
* formation energy from raw total energies: 0.385 eV/atom
* distance to the lowest polymorph of the same formula: 0.00 eV/f.u.

=====

No. 5
Density functional theory data (meta-GGA SCAN) for a crystal of ZnInW2 relaxed with PBEsol.

abc: 6.3467 6.3467 6.3467
angles: 90.00 90.00 90.00
With the nearest neighbours (Å) after each atom.
Element x y z (fractional)
Zn  0.0000  0.0000  0.0000  8 W 2.75
Zn  0.0000  0.5000  0.5000  8 W 2.75
Zn  0.5000  0.0000  0.5000  8 W 2.75
Zn  0.5000  0.5000  0.0000  8 W 2.75
In  0.0000  0.0000  0.5000  8 W 2.75
In  0.0000  0.5000  0.0000  8 W 2.75
In  0.5000  0.0000  0.0000  8 W 2.75
In  0.5000  0.5000  0.5000  8 W 2.75
W  0.2500  0.2500  0.2500  4 In 2.75, 4 Zn 2.75
W  0.2500  0.2500  0.7500  4 In 2.75, 4 Zn 2.75
W  0.2500  0.7500  0.2500  4 In 2.75, 4 Zn 2.75
W  0.2500  0.7500  0.7500  4 In 2.75, 4 Zn 2.75
W  0.7500  0.2500  0.2500  4 In 2.75, 4 Zn 2.75
W  0.7500  0.2500  0.7500  4 In 2.75, 4 Zn 2.75
W  0.7500  0.7500  0.2500  4 In 2.75, 4 Zn 2.75
W  0.7500  0.7500  0.7500  4 In 2.75, 4 Zn 2.75

Values from the calculation:
* space-group type: Fm-3m
* ΔH_f (0 K): 0.952 eV per atom

=====

No. 6
Density functional theory data (meta-GGA SCAN) for a crystal of MgTl3Si relaxed with PBEsol.

abc: 5.3375 5.3375 5.3375
angles: 90.00 90.00 90.00
With the nearest neighbours (Å) after each atom.
Element x y z (fractional)
Mg  0.0000  0.0000  0.0000  6 Tl 2.67
Tl  0.0000  0.0000  0.5000  2 Mg 2.67
Tl  0.0000  0.5000  0.0000  2 Mg 2.67
Tl  0.5000  0.0000  0.0000  2 Mg 2.67
Si  0.5000  0.5000  0.5000  12 Tl 3.77

Values from the calculation:
* space-group type: Pm-3m
* formation energy from raw total energies: 0.716 eV/atom

=====

No. 7
Density functional theory data (meta-GGA SCAN) for a crystal of ZnP relaxed with PBEsol.

abc: 3.7867 3.7867 15.8939
angles: 90.00 90.00 120.00
With the nearest neighbours (Å) after each atom.
Element x y z (fractional)
Zn  0.0000  0.0000  0.1189  4 P 2.41-2.53, 3 Zn 2.66
Zn  0.0000  0.0000  0.8811  4 P 2.41-2.53, 3 Zn 2.66
Zn  0.3333  0.6667  0.5478  4 P 2.41-2.53, 3 Zn 2.66
Zn  0.3333  0.6667  0.7856  4 P 2.41-2.53, 3 Zn 2.66
Zn  0.6667  0.3333  0.2144  4 P 2.41-2.53, 3 Zn 2.66
Zn  0.6667  0.3333  0.4522  4 P 2.41-2.53, 3 Zn 2.66
P  0.0000  0.0000  0.2778  4 Zn 2.41-2.53
P  0.0000  0.0000  0.7222  4 Zn 2.41-2.53
P  0.3333  0.6667  0.3888  4 Zn 2.41-2.53
P  0.3333  0.6667  0.9445  4 Zn 2.41-2.53
P  0.6667  0.3333  0.0555  4 Zn 2.41-2.53
P  0.6667  0.3333  0.6112  4 Zn 2.41-2.53

Values from the calculation:
* space-group type: R-3m
* ΔH_f (0 K): 0.193 eV per atom

=====

No. 8
Density functional theory data (meta-GGA SCAN) for a crystal of Zr2Mo relaxed with PBEsol.

abc: 8.7706 8.7706 8.7706
angles: 60.00 60.00 60.00
With the nearest neighbours (Å) after each atom.
Element x y z (fractional)
Zr  0.0000  0.0000  0.0000  6 Mo 2.70
Zr  0.0000  0.0000  0.5000  6 Mo 2.70
Zr  0.0000  0.5000  0.0000  6 Mo 2.70
Zr  0.1856  0.1856  0.5644  4 Mo 2.90-3.17, 2 Zr 3.18
Zr  0.1856  0.5644  0.1856  4 Mo 2.90-3.17, 2 Zr 3.18
Zr  0.1856  0.5644  0.5644  4 Mo 2.90-3.17, 2 Zr 3.18
Zr  0.4356  0.4356  0.8144  4 Mo 2.90-3.17, 2 Zr 3.18
Zr  0.4356  0.8144  0.4356  4 Mo 2.90-3.17, 2 Zr 3.18
Zr  0.4356  0.8144  0.8144  4 Mo 2.90-3.17, 2 Zr 3.18
Zr  0.5000  0.0000  0.0000  6 Mo 2.70
Zr  0.5644  0.1856  0.1856  4 Mo 2.90-3.17, 2 Zr 3.18
Zr  0.5644  0.1856  0.5644  4 Mo 2.90-3.17, 2 Zr 3.18
Zr  0.5644  0.5644  0.1856  4 Mo 2.90-3.17, 2 Zr 3.18
Zr  0.8144  0.4356  0.4356  4 Mo 2.90-3.17, 2 Zr 3.18
Zr  0.8144  0.4356  0.8144  4 Mo 2.90-3.17, 2 Zr 3.18
Zr  0.8144  0.8144  0.4356  4 Mo 2.90-3.17, 2 Zr 3.18
Mo  0.1317  0.7894  0.7894  6 Zr 2.70-2.90, 3 Mo 3.00
Mo  0.2106  0.2106  0.2106  6 Zr 2.70-2.90, 3 Mo 3.00
Mo  0.2106  0.2106  0.8683  6 Zr 2.70-2.90, 3 Mo 3.00
Mo  0.2106  0.8683  0.2106  6 Zr 2.70-2.90, 3 Mo 3.00
Mo  0.7894  0.1317  0.7894  6 Zr 2.70-2.90, 3 Mo 3.00
Mo  0.7894  0.7894  0.1317  6 Zr 2.70-2.90, 3 Mo 3.00
Mo  0.7894  0.7894  0.7894  6 Zr 2.70-2.90, 3 Mo 3.00
Mo  0.8683  0.2106  0.2106  6 Zr 2.70-2.90, 3 Mo 3.00

Values from the calculation:
* space-group type: Fd-3m
* ΔH_f (0 K): 0.004 eV per atom
* distance to the lowest polymorph of the same formula: 0.00 eV/f.u.

=====

No. 9
Density functional theory data (meta-GGA SCAN) for a crystal of CrSi2O6 relaxed with PBEsol.

abc: 4.9804 18.3511 10.8953
angles: 90.00 90.00 90.00
With the nearest neighbours (Å) after each atom.
Element x y z (fractional)
Cr  0.0319  0.1264  0.0282  4 O 1.75-1.76
Cr  0.0319  0.3736  0.5282  4 O 1.75-1.76
Cr  0.4681  0.6264  0.0282  4 O 1.75-1.76
Cr  0.4681  0.8736  0.5282  4 O 1.75-1.76
Cr  0.5319  0.1264  0.4718  4 O 1.75-1.76
Cr  0.5319  0.3736  0.9718  4 O 1.75-1.76
Cr  0.9681  0.6264  0.4718  4 O 1.75-1.76
Cr  0.9681  0.8736  0.9718  4 O 1.75-1.76
Si  0.1589  0.7333  0.8327  4 O 1.63-1.64
Si  0.1589  0.7667  0.3327  4 O 1.63-1.64
Si  0.2420  0.5139  0.6697  4 O 1.62-1.63
Si  0.2420  0.9861  0.1697  4 O 1.62-1.63
Si  0.2580  0.0139  0.6697  4 O 1.62-1.63
Si  0.2580  0.4861  0.1697  4 O 1.62-1.63
Si  0.3411  0.2333  0.8327  4 O 1.63-1.64
Si  0.3411  0.2667  0.3327  4 O 1.63-1.64
Si  0.6589  0.7333  0.6673  4 O 1.63-1.64
Si  0.6589  0.7667  0.1673  4 O 1.63-1.64
Si  0.7420  0.5139  0.8303  4 O 1.62-1.63
Si  0.7420  0.9861  0.3303  4 O 1.62-1.63
Si  0.7580  0.0139  0.8303  4 O 1.62-1.63
Si  0.7580  0.4861  0.3303  4 O 1.62-1.63
Si  0.8411  0.2333  0.6673  4 O 1.63-1.64
Si  0.8411  0.2667  0.1673  4 O 1.63-1.64
O  0.0486  0.5295  0.7872  2 Si 1.62-1.63
O  0.0486  0.9705  0.2872  2 Si 1.62-1.63
O  0.1504  0.2227  0.7125  2 Si 1.63
O  0.1504  0.2773  0.2125  2 Si 1.63
O  0.1770  0.5679  0.5557  1 Si 1.62, 1 Cr 1.75
O  0.1770  0.9321  0.0557  1 Si 1.62, 1 Cr 1.75
O  0.1884  0.6854  0.3931  1 Si 1.64, 1 Cr 1.76
O  0.1884  0.8146  0.8931  1 Si 1.64, 1 Cr 1.76
O  0.2177  0.0715  0.1286  1 Si 1.63, 1 Cr 1.75
O  0.2177  0.4285  0.6286  1 Si 1.63, 1 Cr 1.75
O  0.2355  0.6737  0.9374  1 Si 1.63, 1 Cr 1.75
O  0.2355  0.8263  0.4373  1 Si 1.63, 1 Cr 1.75
O  0.2645  0.1737  0.9374  1 Si 1.63, 1 Cr 1.75
O  0.2645  0.3263  0.4373  1 Si 1.63, 1 Cr 1.75
O  0.2823  0.5715  0.1286  1 Si 1.63, 1 Cr 1.75
O  0.2823  0.9285  0.6286  1 Si 1.63, 1 Cr 1.75
O  0.3116  0.1854  0.3931  1 Si 1.64, 1 Cr 1.76
O  0.3116  0.3146  0.8931  1 Si 1.64, 1 Cr 1.76
O  0.3230  0.0679  0.5557  1 Si 1.62, 1 Cr 1.75
O  0.3230  0.4321  0.0557  1 Si 1.62, 1 Cr 1.75
O  0.3496  0.7227  0.7125  2 Si 1.63
O  0.3496  0.7773  0.2125  2 Si 1.63
O  0.4514  0.0295  0.7872  2 Si 1.62-1.63
O  0.4514  0.4705  0.2872  2 Si 1.62-1.63
O  0.5486  0.5295  0.7128  2 Si 1.62-1.63
O  0.5486  0.9705  0.2128  2 Si 1.62-1.63
O  0.6504  0.2227  0.7875  2 Si 1.63
O  0.6504  0.2773  0.2875  2 Si 1.63
O  0.6770  0.5679  0.9443  1 Si 1.62, 1 Cr 1.75
O  0.6770  0.9321  0.4443  1 Si 1.62, 1 Cr 1.75
O  0.6884  0.6854  0.1069  1 Si 1.64, 1 Cr 1.76
O  0.6884  0.8146  0.6069  1 Si 1.64, 1 Cr 1.76
O  0.7177  0.0715  0.3714  1 Si 1.63, 1 Cr 1.75
O  0.7177  0.4285  0.8714  1 Si 1.63, 1 Cr 1.75
O  0.7355  0.6737  0.5626  1 Si 1.63, 1 Cr 1.75
O  0.7355  0.8263  0.0627  1 Si 1.63, 1 Cr 1.75
O  0.7645  0.1737  0.5626  1 Si 1.63, 1 Cr 1.75
O  0.7645  0.3263  0.0627  1 Si 1.63, 1 Cr 1.75
O  0.7823  0.5715  0.3714  1 Si 1.63, 1 Cr 1.75
O  0.7823  0.9285  0.8714  1 Si 1.63, 1 Cr 1.75
O  0.8116  0.1854  0.1069  1 Si 1.64, 1 Cr 1.76
O  0.8116  0.3146  0.6069  1 Si 1.64, 1 Cr 1.76
O  0.8230  0.0679  0.9443  1 Si 1.62, 1 Cr 1.75
O  0.8230  0.4321  0.4443  1 Si 1.62, 1 Cr 1.75
O  0.8496  0.7227  0.7875  2 Si 1.63
O  0.8496  0.7773  0.2875  2 Si 1.63
O  0.9514  0.0295  0.7128  2 Si 1.62-1.63
O  0.9514  0.4705  0.2128  2 Si 1.62-1.63

Values from the calculation:
* space-group type: Pbca
* formation energy from raw total energies: -2.633 eV/atom
* distance to the lowest polymorph of the same formula: 0.35 eV/f.u.

=====

No. 10
Density functional theory data (meta-GGA SCAN) for a crystal of ZrCuW2 relaxed with PBEsol.

abc: 3.2874 3.2874 5.9429
angles: 90.00 90.00 90.00
With the nearest neighbours (Å) after each atom.
Element x y z (fractional)
Zr  0.0000  0.0000  0.0000  8 W 2.89, 2 Cu 2.97
Cu  0.0000  0.0000  0.5000  8 W 2.64
W  0.5000  0.5000  0.2898  1 W 2.50, 4 Cu 2.64
W  0.5000  0.5000  0.7102  1 W 2.50, 4 Cu 2.64

Values from the calculation:
* space-group type: P4/mmm
* ΔH_f (0 K): 0.417 eV per atom
* distance to the lowest polymorph of the same formula: 1.18 eV/f.u.

=====

no.,calculated volume (Å³/cell)
1,93.77
2,76.18
3,63.42
4,135.90
5,255.65
6,152.06
7,197.37
8,477.06
9,995.79
10,64.23